1.
The following is a PBEsol calculation of a geometry-optimized Ag2SnPb2 structure, from Alexandria via LeMat-Bulk.

The space group is P4/mbm (No. 127) and the conventional cell measures 7.442, 7.442 and 4.298 Å, with angles of 90.00, 90.00 and 90.00 degrees. The distinct sites, in fractional coordinates, are Ag at (0.131, 0.369, 0.000), Sn at (0.000, 0.000, 0.000) and Pb at (0.169, 0.669, 0.500).

The density comes out at 10.45 g/cm³. The calculation puts the energy relative to the elements at 7.8 kJ per mole of atoms.

2.
The following is a PBEsol calculation of a geometry-optimized ScRh2Se structure, from Alexandria via LeMat-Bulk.

The space group is P4mm (No. 99) and the conventional cell measures 3.072, 3.072 and 6.668 Å, with angles of 90.00, 90.00 and 90.00 degrees. The distinct sites, in fractional coordinates, are Sc at (0.000, 0.000, 0.000), Rh at (0.000, 0.000, 0.500), Rh at (0.500, 0.500, 0.758) and Se at (0.500, 0.500, 0.287).

The density comes out at 8.70 g/cm³. The raw formation energy is -398 meV per atom.

3.
The following is a PBEsol calculation of a geometry-optimized MgTi2Pt2 structure, from Alexandria via LeMat-Bulk.

The space group is I4/mmm (No. 139) and the conventional cell measures 3.864, 3.864 and 12.299 Å, with angles of 90.00, 90.00 and 90.00 degrees. The distinct sites, in fractional coordinates, are Mg at (0.000, 0.000, 0.000), Ti at (0.000, 0.000, 0.387) and Pt at (0.000, 0.500, 0.250).

The density comes out at 9.23 g/cm³. The calculation puts the energy relative to the elements at -24.2 kJ per mole of atoms.

4.
The following is a PBEsol calculation of a geometry-optimized BaCaSc2 structure, from Alexandria via LeMat-Bulk.

The space group is R3m (No. 160, hexagonal axes) and the conventional cell measures 3.5756, 3.5756 and 35.0883 Å, with angles of 90.00, 90.00 and 120.00 degrees. The distinct sites, in fractional coordinates, are Ba at (0.0000, 0.0000, 0.0000), Ca at (0.0000, 0.0000, 0.7649), Sc at (0.0000, 0.0000, 0.2467) and Sc at (0.0000, 0.0000, 0.5130).

The density comes out at 3.43 g/cm³. The calculation puts the energy relative to the elements at 23.9 kJ per mole of atoms.

5.
The following is a PBEsol calculation of a geometry-optimized Dy2CoTe2S2O14 structure, from Alexandria via LeMat-Bulk.

The space group is P-1 (No. 2) and the conventional cell measures 5.207, 7.758 and 7.970 Å, with angles of 63.02, 73.10 and 85.10 degrees. The distinct sites, in fractional coordinates, are Dy at (0.066, 0.252, 0.018), Co at (0.000, 0.000, 0.500), Te at (0.500, 0.270, 0.350), S at (0.252, 0.752, 0.254), O at (0.129, 0.584, 0.257), O at (0.140, 0.766, 0.440), O at (0.180, 0.924, 0.089), O at (0.250, 0.559, 0.889), O at (0.260, 0.932, 0.661), O at (0.271, 0.190, 0.247) and O at (0.455, 0.264, 0.781).

The density comes out at 5.62 g/cm³. The raw formation energy is -1863 meV per atom.

6.
The following is a PBEsol calculation of a geometry-optimized TiCrH3 structure, from Alexandria via LeMat-Bulk.

The space group is Pm-3m (No. 221) and the conventional cell measures 3.438, 3.438 and 3.438 Å, with angles of 90.00, 90.00 and 90.00 degrees. The distinct sites, in fractional coordinates, are Ti at (0.000, 0.000, 0.000), Cr at (0.500, 0.500, 0.500) and H at (0.000, 0.000, 0.500).

The electronic total energy comes out at -5.504 eV/atom. The density comes out at 4.20 g/cm³.

7.
The following is a PBEsol calculation of a geometry-optimized HgRuPb2 structure, from Alexandria via LeMat-Bulk.

The space group is Pmmm (No. 47) and the conventional cell measures 3.567, 4.683 and 5.231 Å, with angles of 90.00, 90.00 and 90.00 degrees. The distinct sites, in fractional coordinates, are Hg at (0.000, 0.000, 0.000), Ru at (0.500, 0.000, 0.500), Pb at (0.000, 0.500, 0.500) and Pb at (0.500, 0.500, 0.000).

The density comes out at 13.61 g/cm³. The calculation puts the energy relative to the elements at 60.7 kJ per mole of atoms.

8.
The following is a PBEsol calculation of a geometry-optimized Sr2Ge2Se5 structure, from Alexandria via LeMat-Bulk.

The space group is P2_1/c (No. 14) and the conventional cell measures 8.415, 12.201 and 11.928 Å, with angles of 90.00, 130.68 and 90.00 degrees. The distinct sites, in fractional coordinates, are Sr at (0.016, 0.163, 0.473), Sr at (0.457, 0.695, 0.519), Ge at (0.157, 0.049, 0.170), Ge at (0.486, 0.022, 0.684), Se at (0.065, 0.208, 0.226), Se at (0.108, 0.090, 0.945), Se at (0.249, 0.557, 0.948), Se at (0.316, 0.506, 0.280) and Se at (0.477, 0.717, 0.791).

The density comes out at 5.12 g/cm³. The raw formation energy is -1075 meV per atom.

9.
The following is a PBEsol calculation of a geometry-optimized LaHg3Ge structure, from Alexandria via LeMat-Bulk.

The space group is Pm-3m (No. 221) and the conventional cell measures 5.765, 5.765 and 5.765 Å, with angles of 90.00, 90.00 and 90.00 degrees. The distinct sites, in fractional coordinates, are La at (0.000, 0.000, 0.000), Hg at (0.000, 0.000, 0.500) and Ge at (0.500, 0.500, 0.500).

The density comes out at 7.05 g/cm³. The calculation puts the energy relative to the elements at 82.2 kJ per mole of atoms.

10.
The following is a PBEsol calculation of a geometry-optimized K3Os structure, from Alexandria via LeMat-Bulk.

The space group is P4/mmm (No. 123) and the conventional cell measures 3.149, 3.149 and 13.289 Å, with angles of 90.00, 90.00 and 90.00 degrees. The distinct sites, in fractional coordinates, are K at (0.000, 0.000, 0.000), K at (0.500, 0.500, 0.320) and Os at (0.000, 0.000, 0.500).

The density comes out at 3.88 g/cm³. The calculation puts the energy relative to the elements at 126.6 kJ per mole of atoms.

11.
The following is a PBEsol calculation of a geometry-optimized CuSeO4 structure, from Alexandria via LeMat-Bulk.

The space group is Cmcm (No. 63) and the conventional cell measures 5.487, 8.020 and 6.447 Å, with angles of 90.00, 90.00 and 90.00 degrees. The distinct sites, in fractional coordinates, are Cu at (0.000, 0.000, 0.000), Se at (0.000, 0.350, 0.250), O at (0.000, 0.240, 0.032) and O at (0.249, 0.025, 0.750).

The density comes out at 4.83 g/cm³. The raw formation energy is -529 meV per atom.

12.
The following is a PBEsol calculation of a geometry-optimized LiThRh2 structure, from Alexandria via LeMat-Bulk.

The space group is Fm-3m (No. 225) and the conventional cell measures 6.535, 6.535 and 6.535 Å, with angles of 90.00, 90.00 and 90.00 degrees. The distinct sites, in fractional coordinates, are Li at (0.000, 0.000, 0.000), Th at (0.000, 0.000, 0.500) and Rh at (0.250, 0.250, 0.250).

The density comes out at 10.58 g/cm³. The calculation puts the energy relative to the elements at -53.0 kJ per mole of atoms.

13.
The following is a PBEsol calculation of a geometry-optimized NiRu2Rh structure, from Alexandria via LeMat-Bulk.

The space group is Pmm2 (No. 25) and the conventional cell measures 2.647, 3.673 and 5.228 Å, with angles of 90.00, 90.00 and 90.00 degrees. The distinct sites, in fractional coordinates, are Ni at (0.000, 0.000, 0.000), Ru at (0.000, 0.000, 0.509), Ru at (0.500, 0.500, 0.755) and Rh at (0.500, 0.500, 0.242).

The density comes out at 11.88 g/cm³. The calculation puts the energy relative to the elements at 7.0 kJ per mole of atoms.

14.
The following is a PBEsol calculation of a geometry-optimized MgZr3Ru structure, from Alexandria via LeMat-Bulk.

The space group is Pm-3m (No. 221) and the conventional cell measures 4.851, 4.851 and 4.851 Å, with angles of 90.00, 90.00 and 90.00 degrees. The distinct sites, in fractional coordinates, are Mg at (0.000, 0.000, 0.000), Zr at (0.000, 0.000, 0.500) and Ru at (0.500, 0.500, 0.500).

The density comes out at 5.81 g/cm³. The calculation puts the energy relative to the elements at 156.4 kJ per mole of atoms.

15.
The following is a PBEsol calculation of a geometry-optimized SrPb2Au structure, from Alexandria via LeMat-Bulk.

The space group is P2/m (No. 10) and the conventional cell measures 5.011, 4.681 and 5.206 Å, with angles of 90.00, 104.24 and 90.00 degrees. The distinct sites, in fractional coordinates, are Sr at (0.000, 0.000, 0.000), Pb at (0.305, 0.500, 0.699) and Au at (0.500, 0.000, 0.500).

The density comes out at 9.81 g/cm³. The calculation puts the energy relative to the elements at -37.1 kJ per mole of atoms.

16.
The following is a PBEsol calculation of a geometry-optimized SiHgPS2 structure, from Alexandria via LeMat-Bulk.

The space group is P4/mmm (No. 123) and the conventional cell measures 4.880, 4.880 and 4.851 Å, with angles of 90.00, 90.00 and 90.00 degrees. The distinct sites, in fractional coordinates, are Si at (0.000, 0.000, 0.000), Hg at (0.500, 0.500, 0.500), P at (0.500, 0.500, 0.000) and S at (0.000, 0.500, 0.500).

The density comes out at 4.65 g/cm³. The raw formation energy is 1199 meV per atom.

17.
The following is a PBEsol calculation of a geometry-optimized ZrCuNi structure, from Alexandria via LeMat-Bulk.

The space group is I4mm (No. 107) and the conventional cell measures 3.274, 3.274 and 8.078 Å, with angles of 90.00, 90.00 and 90.00 degrees. The distinct sites, in fractional coordinates, are Zr at (0.000, 0.000, 0.000), Cu at (0.000, 0.000, 0.677) and Ni at (0.000, 0.000, 0.337).

The density comes out at 8.19 g/cm³. The calculation puts the energy relative to the elements at -28.8 kJ per mole of atoms.

18.
The following is a PBEsol calculation of a geometry-optimized Tm6FeBi2 structure, from Alexandria via LeMat-Bulk.

The space group is P-62m (No. 189) and the conventional cell measures 8.0933, 8.0933 and 4.0489 Å, with angles of 90.00, 90.00 and 120.00 degrees. The distinct sites, in fractional coordinates, are Tm at (0.0000, 0.3865, 0.0000), Tm at (0.0000, 0.7707, 0.5000), Fe at (0.0000, 0.0000, 0.0000) and Bi at (0.3333, 0.6667, 0.5000).

The density comes out at 10.75 g/cm³. The calculation puts the energy relative to the elements at -43.6 kJ per mole of atoms.

19.
The following is a PBEsol calculation of a geometry-optimized LiCoPd2F structure, from Alexandria via LeMat-Bulk.

The space group is P4/mmm (No. 123) and the conventional cell measures 4.557, 4.557 and 3.102 Å, with angles of 90.00, 90.00 and 90.00 degrees. The distinct sites, in fractional coordinates, are Li at (0.000, 0.000, 0.000), Co at (0.500, 0.500, 0.500), Pd at (0.000, 0.500, 0.000) and F at (0.000, 0.000, 0.500).

The density comes out at 7.68 g/cm³. The raw formation energy is 7 meV per atom.

20.
The following is a PBEsol calculation of a geometry-optimized LiOsSe2N structure, from Alexandria via LeMat-Bulk.

The space group is P4/mmm (No. 123) and the conventional cell measures 4.579, 4.579 and 3.250 Å, with angles of 90.00, 90.00 and 90.00 degrees. The distinct sites, in fractional coordinates, are Li at (0.000, 0.000, 0.000), Os at (0.500, 0.500, 0.500), Se at (0.000, 0.500, 0.000) and N at (0.000, 0.000, 0.500).

The density comes out at 8.99 g/cm³. The raw formation energy is 1304 meV per atom.

21.
The following is a PBEsol calculation of a geometry-optimized Li2CuAu structure, from Alexandria via LeMat-Bulk.

The space group is Pmmm (No. 47) and the conventional cell measures 2.737, 3.761 and 5.263 Å, with angles of 90.00, 90.00 and 90.00 degrees. The distinct sites, in fractional coordinates, are Li at (0.000, 0.000, 0.247), Cu at (0.500, 0.500, 0.000) and Au at (0.500, 0.500, 0.500).

The density comes out at 8.41 g/cm³. The calculation puts the energy relative to the elements at -23.5 kJ per mole of atoms.

22.
The following is a PBEsol calculation of a geometry-optimized Te3C structure, from Alexandria via LeMat-Bulk.

The space group is Pm-3m (No. 221) and the conventional cell measures 4.768, 4.768 and 4.768 Å, with angles of 90.00, 90.00 and 90.00 degrees. The distinct sites, in fractional coordinates, are Te at (0.000, 0.000, 0.500) and C at (0.000, 0.000, 0.000).

The density comes out at 6.05 g/cm³. The raw formation energy is 1243 meV per atom.

23.
The following is a PBEsol calculation of a geometry-optimized BeSiSb structure, from Alexandria via LeMat-Bulk.

The space group is Imm2 (No. 44) and the conventional cell measures 2.860, 3.478 and 11.411 Å, with angles of 90.00, 90.00 and 90.00 degrees. The distinct sites, in fractional coordinates, are Be at (0.000, 0.000, 0.000), Si at (0.000, 0.000, 0.449) and Sb at (0.000, 0.000, 0.218).

The density comes out at 4.65 g/cm³. The raw formation energy is 398 meV per atom.

24.
The following is a PBEsol calculation of a geometry-optimized Gd3BWO9 structure, from Alexandria via LeMat-Bulk.

The space group is P6_3 (No. 173) and the conventional cell measures 8.5164, 8.5164 and 5.3840 Å, with angles of 90.00, 90.00 and 120.00 degrees. The distinct sites, in fractional coordinates, are Gd at (0.0835, 0.3584, 0.0000), B at (0.0000, 0.0000, 0.3382), W at (0.3333, 0.6667, 0.4568), O at (0.0518, 0.1811, 0.3475), O at (0.1342, 0.6194, 0.2259) and O at (0.1970, 0.7305, 0.6663).

The density comes out at 7.96 g/cm³. The raw formation energy is -3056 meV per atom.

25.
The following is a PBEsol calculation of a geometry-optimized GaFeI2O structure, from Alexandria via LeMat-Bulk.

The space group is P4/mmm (No. 123) and the conventional cell measures 5.561, 5.561 and 3.628 Å, with angles of 90.00, 90.00 and 90.00 degrees. The distinct sites, in fractional coordinates, are Ga at (0.000, 0.000, 0.000), Fe at (0.500, 0.500, 0.500), I at (0.000, 0.500, 0.500) and O at (0.500, 0.500, 0.000).

The density comes out at 5.85 g/cm³. The raw formation energy is -333 meV per atom.

no.,total magnetic moment (μB/cell)
1,0.00
2,0.00
3,2.86
4,0.01
5,3.00
6,3.02
7,0.00
8,0.00
9,0.01
10,1.26
11,4.03
12,0.00
13,0.01
14,0.00
15,0.00
16,0.00
17,0.00
18,0.21
19,2.67
20,1.09
21,0.00
22,0.00
23,0.00
24,41.96
25,3.90